# 1
La8NiOs3I4, optimized geometry, DFT GGA-PBE; uncorrected energy = -6.046 eV/atom; raw formation energy = -0.73 eV/atom
1.0
4.235 2.445 8.254
-4.235 2.445 8.254
0.000 -4.890 8.254
La Ni Os I
8 1 3 4
Cartesian
-2.164 -1.249 13.895
0.000 0.000 5.669
0.000 -2.498 10.866
-2.164 1.249 10.866
2.164 -1.249 13.895
0.000 2.498 13.895
0.000 0.000 19.092
2.164 1.249 10.866
0.000 0.000 12.381
-4.235 0.000 12.380
-2.118 1.223 4.127
2.118 1.223 4.127
0.000 0.000 0.000
-2.118 -1.223 8.254
-2.118 1.223 16.507
0.000 2.445 8.254

=====

# 2
La6Ni2OsI3, optimized geometry, DFT GGA-PBE; uncorrected energy = -5.515 eV/atom; raw formation energy = -0.76 eV/atom
1.0
3.646 -6.318 0.000
3.646 6.318 0.000
-2.432 0.000 8.264
La Ni Os I
6 2 1 3
Cartesian
1.199 2.076 1.530
-0.037 0.000 6.733
1.199 -2.076 1.530
3.660 2.076 6.735
4.896 0.000 1.531
3.660 -2.076 6.735
3.646 2.107 0.000
3.646 -2.107 0.000
0.000 0.000 0.000
2.430 4.218 4.132
2.430 0.000 4.132
2.430 -4.218 4.132

=====

# 3
La6NiOs2I3, optimized geometry, DFT GGA-PBE; uncorrected energy = -5.951 eV/atom; raw formation energy = -0.75 eV/atom
1.0
3.661 -6.341 0.000
3.661 6.341 0.000
-2.439 0.000 8.269
La Ni Os I
6 1 2 3
Cartesian
-0.023 2.156 6.741
1.170 0.000 1.525
-0.023 -2.156 6.741
4.906 2.156 1.528
3.713 0.000 6.743
4.906 -2.156 1.528
3.661 0.000 0.000
3.661 4.227 0.000
3.661 -4.227 0.000
-1.219 0.000 4.134
2.441 2.118 4.134
2.441 -2.118 4.134

=====

# 4
La6Ni2PI3, optimized geometry, DFT GGA-PBE; uncorrected energy = -5.204 eV/atom; raw formation energy = -0.94 eV/atom
1.0
3.609 -6.595 0.000
3.609 6.595 0.000
-2.399 0.000 7.957
La Ni P I
6 2 1 3
Cartesian
-0.152 2.224 6.475
1.172 0.000 1.559
-0.152 -2.224 6.475
4.971 2.224 1.482
3.647 0.000 6.398
4.971 -2.224 1.482
3.609 4.358 0.000
3.609 -4.358 0.000
3.609 0.000 0.000
-1.200 0.000 3.978
2.409 2.184 3.978
2.409 -2.184 3.978

=====

# 5
La6NiP2I3, optimized geometry, DFT GGA-PBE; uncorrected energy = -5.406 eV/atom; raw formation energy = -1.17 eV/atom
1.0
3.742 -6.437 0.000
3.742 6.437 0.000
-2.543 0.000 7.759
La Ni P I
6 1 2 3
Cartesian
1.213 2.097 1.513
-0.018 0.000 6.195
1.213 -2.097 1.513
3.729 2.097 6.246
4.960 0.000 1.563
3.729 -2.097 6.246
0.000 0.000 0.000
3.742 2.149 0.000
3.742 -2.149 0.000
2.471 4.222 3.879
2.471 0.000 3.879
2.471 -4.222 3.879

=====

# 6
La4NiPdI2, optimized geometry, DFT GGA-PBE; uncorrected energy = -5.066 eV/atom; raw formation energy = -0.84 eV/atom
1.0
7.255 0.000 0.000
0.000 4.396 0.000
-2.382 0.000 8.190
La Ni Pd I
4 1 1 2
Cartesian
1.215 0.000 1.533
-0.129 2.198 6.668
5.002 2.198 1.522
3.658 0.000 6.657
0.000 2.198 0.000
3.627 0.000 0.000
-1.191 0.000 4.095
2.437 2.198 4.095

=====

# 7
La8NiPd3I4, optimized geometry, DFT GGA-PBE; uncorrected energy = -5.082 eV/atom; raw formation energy = -0.90 eV/atom
1.0
7.474 -4.307 0.000
7.474 4.307 0.000
-4.991 0.000 8.238
La Ni Pd I
8 1 3 4
Cartesian
-0.073 0.000 5.666
3.771 2.216 5.664
6.186 2.216 2.574
2.485 0.000 2.540
7.471 0.000 5.698
3.771 -2.216 5.664
6.186 -2.216 2.574
10.029 0.000 2.572
-2.496 0.000 4.119
1.241 2.153 4.119
1.241 -2.153 4.119
4.978 0.000 4.119
0.000 0.000 0.000
3.737 2.153 0.000
3.737 -2.153 0.000
7.474 0.000 0.000

=====

# 8
LaPmNiI, optimized geometry, DFT GGA-PBE; uncorrected energy = -4.950 eV/atom; raw formation energy = -0.70 eV/atom
1.0
2.073 1.197 8.142
-2.073 1.197 8.142
0.000 -2.393 8.142
La Pm Ni I
1 1 1 1
Cartesian
0.000 0.000 0.000
0.000 0.000 5.157
0.000 0.000 14.786
0.000 0.000 18.941

=====

Repeat the sixth record exactly.
La4NiPdI2, optimized geometry, DFT GGA-PBE; uncorrected energy = -5.066 eV/atom; raw formation energy = -0.84 eV/atom
1.0
7.255 0.000 0.000
0.000 4.396 0.000
-2.382 0.000 8.190
La Ni Pd I
4 1 1 2
Cartesian
1.215 0.000 1.533
-0.129 2.198 6.668
5.002 2.198 1.522
3.658 0.000 6.657
0.000 2.198 0.000
3.627 0.000 0.000
-1.191 0.000 4.095
2.437 2.198 4.095

=====

Repeat the sixth record exactly.
La4NiPdI2, optimized geometry, DFT GGA-PBE; uncorrected energy = -5.066 eV/atom; raw formation energy = -0.84 eV/atom
1.0
7.255 0.000 0.000
0.000 4.396 0.000
-2.382 0.000 8.190
La Ni Pd I
4 1 1 2
Cartesian
1.215 0.000 1.533
-0.129 2.198 6.668
5.002 2.198 1.522
3.658 0.000 6.657
0.000 2.198 0.000
3.627 0.000 0.000
-1.191 0.000 4.095
2.437 2.198 4.095

=====

- The highest raw formation energy belongs to which entry?
  LaPmNiI